A plane-wave DFT calculation with PBE was carried out for an optimized crystal structure of NaWS3.

Unit cell a=4.732 b=4.732 c=4.732 alpha=90.00 beta=90.00 gamma=90.00
Positions (direct):
W 0.000 0.000 0.000
Na 0.500 0.500 0.500
S 0.500 0.000 0.000
S 0.000 0.000 0.500
S 0.000 0.500 0.000

Summary:
ρ in g/cm3: 4.75
Total moment in μB per cell: 0.0
Electronic total energy in eV for the cell shown: -28.89


A plane-wave DFT calculation with PBE was carried out for an optimized crystal structure of ScP2Cl.

Unit cell a=3.244 b=3.244 c=7.855 alpha=90.00 beta=90.00 gamma=90.00
Last column: magnetic moment on the atom in μB.
Positions (direct):
Cl 0.500 0.500 0.660  0.00
P 0.500 0.500 0.237  0.00
P 0.000 0.000 0.138  0.00
Sc 0.000 0.000 0.465  0.18

Summary:
ρ in g/cm3: 2.86
Total moment in μB per cell: 0.3
Electronic total energy in eV for the cell shown: -22.10


A plane-wave DFT calculation with PBE was carried out for an optimized crystal structure of PrDyCo4.

Unit cell a=5.138 b=5.138 c=5.138 alpha=60.00 beta=60.00 gamma=60.00
Last column: magnetic moment on the atom in μB.
Positions (direct):
Pr 0.250 0.250 0.250  -0.21
Co 0.626 0.626 0.123  1.16
Dy 0.000 0.000 0.000  -0.34
Co 0.123 0.626 0.626  1.16
Co 0.626 0.626 0.626  1.16
Co 0.626 0.123 0.626  1.16

Summary:
Energy of formation in eV/atom: -0.0883
ρ in g/cm3: 9.34
Total moment in μB per cell: 3.8


A plane-wave DFT calculation with PBE was carried out for an optimized crystal structure of Sr2Zn6Cd.

Unit cell a=6.352 b=5.972 c=5.972 alpha=60.02 beta=90.00 gamma=90.00
Positions (direct):
Sr 0.856 0.667 0.667
Zn 0.354 0.822 0.822
Zn 0.353 0.821 0.358
Cd 0.000 0.000 0.000
Zn 0.353 0.358 0.821
Zn 0.646 0.178 0.178
Sr 0.144 0.333 0.333
Zn 0.647 0.642 0.179
Zn 0.647 0.179 0.642

Summary:
Energy of formation in eV/atom: -0.2006
ρ in g/cm3: 5.75
Total moment in μB per cell: 0.0